Below is a relaxed AuSe2N crystal, with properties calculated at the PBE level.

POSCAR file:
```
AuSe2N
1.0
-0.6777 -1.6593 5.0130
5.1382 0.9580 1.0117
0.9138 5.0201 4.6121
Au Se N
2 4 2
direct
0.0000 0.0000 0.0000 Au
0.7500 0.2500 0.5000 Au
0.5511 0.1250 0.2500 Se
0.1989 0.6250 0.2500 Se
0.3750 0.4489 0.7500 Se
0.8750 0.8011 0.7500 Se
0.5000 0.5000 0.0000 N
0.2500 0.7500 0.5000 N
```

## Properties
- Density of states at the Fermi level: 0.475 states/eV per atom
- Electronic total energy: -3.80 eV per atom
- Crystal system: tetragonal